1.
The following is a PBE calculation of a relaxed LiZnAg2 crystal, from the Alexandria database.

* energy: -2.35 eV per atom
* V: 65 Å³ per cell
* total moment: 0.00 μB per formula unit
* energy relative to the elements: -130 meV per atom

Cell: 2.845 4.084 5.608 Å, 90.00 90.00 90.00°
Element x y z (fractional)
Li: 0.000 0.000 0.000
Zn: 0.500 0.500 0.257
Ag: 0.000 0.000 0.486
Ag: 0.500 0.500 0.769

2.
The following is a PBE calculation of a relaxed Li3Zn3Ag crystal, from the Alexandria database.

* energy: -1.84 eV per atom
* E above lowest polymorph: 0.0249 eV/atom
* V: 452 Å³ per cell
* total moment: 0.00 μB per formula unit
* energy relative to the elements: -71 meV per atom

Cell: 7.672 7.672 7.672 Å, 90.00 90.00 90.00°
Element x y z (fractional)
Li: 0.069 0.219 0.885
Li: 0.115 0.569 0.281
Li: 0.219 0.885 0.069
Li: 0.281 0.115 0.569
Li: 0.385 0.431 0.781
Li: 0.431 0.781 0.385
Li: 0.569 0.281 0.115
Li: 0.615 0.931 0.719
Li: 0.719 0.615 0.931
Li: 0.781 0.385 0.431
Li: 0.885 0.069 0.219
Li: 0.931 0.719 0.615
Zn: 0.089 0.589 0.911
Zn: 0.106 0.894 0.394
Zn: 0.212 0.212 0.212
Zn: 0.288 0.788 0.712
Zn: 0.394 0.106 0.894
Zn: 0.411 0.411 0.411
Zn: 0.589 0.911 0.089
Zn: 0.606 0.606 0.606
Zn: 0.712 0.288 0.788
Zn: 0.788 0.712 0.288
Zn: 0.894 0.394 0.106
Zn: 0.911 0.089 0.589
Ag: 0.094 0.406 0.594
Ag: 0.406 0.594 0.094
Ag: 0.594 0.094 0.406
Ag: 0.906 0.906 0.906

3.
The following is a PBE calculation of a relaxed Li4Zn2Ag5 crystal, from the Alexandria database.

* energy: -2.40 eV per atom
* E above lowest polymorph: 0.0000 eV/atom
* V: 364 Å³ per cell
* total moment: 0.00 μB per formula unit
* energy relative to the elements: -178 meV per atom

Cell: 7.376 16.667 2.961 Å, 90.00 90.00 90.00°
Element x y z (fractional)
Li: 0.096 0.148 0.000
Li: 0.214 0.433 0.000
Li: 0.286 0.933 0.000
Li: 0.404 0.648 0.000
Li: 0.596 0.352 0.000
Li: 0.714 0.067 0.000
Li: 0.786 0.567 0.000
Li: 0.904 0.852 0.000
Zn: 0.023 0.694 0.000
Zn: 0.477 0.194 0.000
Zn: 0.523 0.806 0.000
Zn: 0.977 0.306 0.000
Ag: 0.000 0.000 0.500
Ag: 0.130 0.566 0.500
Ag: 0.220 0.793 0.500
Ag: 0.280 0.293 0.500
Ag: 0.370 0.066 0.500
Ag: 0.500 0.500 0.500
Ag: 0.630 0.934 0.500
Ag: 0.720 0.707 0.500
Ag: 0.780 0.207 0.500
Ag: 0.870 0.434 0.500

4.
The following is a PBE calculation of a relaxed LiZn7Ag2 crystal, from the Alexandria database.

* energy: -1.22 eV per atom
* V: 188 Å³ per cell
* total moment: 0.00 μB per formula unit
* energy relative to the elements: 430 meV per atom

Cell: 6.435 6.435 6.435 Å, 60.00 60.00 60.00°
Element x y z (fractional)
Li: 0.000 0.000 0.000
Zn: 0.241 0.241 0.759
Zn: 0.241 0.759 0.241
Zn: 0.241 0.759 0.759
Zn: 0.500 0.500 0.500
Zn: 0.759 0.241 0.241
Zn: 0.759 0.241 0.759
Zn: 0.759 0.759 0.241
Ag: 0.250 0.250 0.250
Ag: 0.750 0.750 0.750

5.
The following is a PBE calculation of a relaxed Li3Zn3Ag crystal, from the Alexandria database.

* energy: -1.87 eV per atom
* E above lowest polymorph: 0.0000 eV/atom
* V: 234 Å³ per cell
* total moment: 0.00 μB per formula unit
* energy relative to the elements: -95 meV per atom

Cell: 7.233 7.233 7.233 Å, 54.66 54.66 54.66°
Element x y z (fractional)
Li: 0.063 0.582 0.219
Li: 0.219 0.063 0.582
Li: 0.418 0.781 0.937
Li: 0.582 0.219 0.063
Li: 0.781 0.937 0.418
Li: 0.937 0.418 0.781
Zn: 0.214 0.680 0.429
Zn: 0.320 0.571 0.786
Zn: 0.429 0.214 0.680
Zn: 0.571 0.786 0.320
Zn: 0.680 0.429 0.214
Zn: 0.786 0.320 0.571
Ag: 0.160 0.160 0.160
Ag: 0.840 0.840 0.840

6.
The following is a PBE calculation of a relaxed LiZnAg2 crystal, from the Alexandria database.

* energy: -2.32 eV per atom
* V: 65 Å³ per cell
* total moment: 0.00 μB per formula unit
* energy relative to the elements: -96 meV per atom

Cell: 2.953 2.953 7.465 Å, 90.00 90.00 90.00°
Element x y z (fractional)
Li: 0.000 0.000 0.000
Zn: 0.500 0.500 0.230
Ag: 0.000 0.000 0.477
Ag: 0.500 0.500 0.758

7.
The following is a PBE calculation of a relaxed Li2ZnAg crystal, from the Alexandria database.

* energy: -2.10 eV per atom
* V: 130 Å³ per cell
* total moment: 0.00 μB per formula unit
* energy relative to the elements: -111 meV per atom

Cell: 5.077 2.887 9.051 Å, 90.00 100.96 90.00°
Element x y z (fractional)
Li: 0.000 0.000 0.000
Li: 0.172 0.000 0.501
Li: 0.500 0.500 0.000
Li: 0.672 0.500 0.501
Zn: 0.258 0.500 0.251
Zn: 0.758 0.000 0.251
Ag: 0.087 0.500 0.751
Ag: 0.587 0.000 0.751

8.
The following is a PBE calculation of a relaxed Li2Zn2Ag crystal, from the Alexandria database.

* energy: -2.05 eV per atom
* E above lowest polymorph: 0.0000 eV/atom
* V: 153 Å³ per cell
* total moment: 0.00 μB per formula unit
* energy relative to the elements: -205 meV per atom

Cell: 5.110 5.110 7.792 Å, 101.87 101.87 50.42°
Element x y z (fractional)
Li: 0.056 0.558 0.853
Li: 0.442 0.944 0.647
Li: 0.558 0.056 0.353
Li: 0.944 0.442 0.147
Zn: 0.145 0.644 0.548
Zn: 0.356 0.855 0.952
Zn: 0.644 0.145 0.048
Zn: 0.855 0.356 0.452
Ag: 0.249 0.751 0.250
Ag: 0.751 0.249 0.750

9.
The following is a PBE calculation of a relaxed LiZn10Ag2 crystal, from the Alexandria database.

* energy: -1.58 eV per atom
* V: 215 Å³ per cell
* total moment: 0.00 μB per formula unit
* energy relative to the elements: -17 meV per atom

Cell: 8.812 6.831 6.801 Å, 80.54 49.88 49.58°
Element x y z (fractional)
Li: 0.000 0.000 0.000
Zn: 0.000 0.000 0.500
Zn: 0.005 0.652 0.348
Zn: 0.284 0.505 0.495
Zn: 0.348 0.995 0.005
Zn: 0.495 0.716 0.284
Zn: 0.500 0.500 0.000
Zn: 0.505 0.284 0.716
Zn: 0.652 0.005 0.995
Zn: 0.716 0.495 0.505
Zn: 0.995 0.348 0.652
Ag: 0.000 0.500 0.000
Ag: 0.500 0.000 0.500

10.
The following is a PBE calculation of a relaxed Li7Zn3Ag crystal, from the Alexandria database.

* energy: -1.86 eV per atom
* E above lowest polymorph: 0.0715 eV/atom
* V: 194 Å³ per cell
* total moment: 0.00 μB per formula unit
* energy relative to the elements: -33 meV per atom

Cell: 6.814 6.814 4.836 Å, 110.72 110.72 90.15°
Element x y z (fractional)
Li: 0.000 0.000 0.000
Li: 0.100 0.569 0.335
Li: 0.320 0.320 0.820
Li: 0.431 0.900 0.665
Li: 0.569 0.100 0.335
Li: 0.680 0.680 0.180
Li: 0.900 0.431 0.665
Zn: 0.273 0.727 0.000
Zn: 0.500 0.500 0.500
Zn: 0.727 0.273 0.000
Ag: 0.000 0.000 0.500

11.
The following is a PBE calculation of a relaxed Li8ZnAg2 crystal, from the Alexandria database.

* energy: -2.16 eV per atom
* E above lowest polymorph: 0.0000 eV/atom
* V: 185 Å³ per cell
* total moment: 0.00 μB per formula unit
* energy relative to the elements: -131 meV per atom

Cell: 7.568 7.568 6.267 Å, 103.06 103.06 31.94°
Element x y z (fractional)
Li: 0.044 0.044 0.242
Li: 0.142 0.142 0.692
Li: 0.320 0.320 0.590
Li: 0.401 0.401 0.045
Li: 0.599 0.599 0.955
Li: 0.680 0.680 0.410
Li: 0.858 0.858 0.308
Li: 0.956 0.956 0.758
Zn: 0.500 0.500 0.500
Ag: 0.223 0.223 0.144
Ag: 0.777 0.777 0.856

12.
The following is a PBE calculation of a relaxed Li7ZnAg2 crystal, from the Alexandria database.

* energy: -1.74 eV per atom
* E above lowest polymorph: 0.3747 eV/atom
* V: 205 Å³ per cell
* total moment: 0.00 μB per formula unit
* energy relative to the elements: 300 meV per atom

Cell: 6.615 6.615 6.615 Å, 60.00 60.00 60.00°
Element x y z (fractional)
Li: 0.000 0.000 0.000
Li: 0.250 0.250 0.750
Li: 0.250 0.750 0.250
Li: 0.250 0.750 0.750
Li: 0.750 0.250 0.250
Li: 0.750 0.250 0.750
Li: 0.750 0.750 0.250
Zn: 0.500 0.500 0.500
Ag: 0.250 0.250 0.250
Ag: 0.750 0.750 0.750

13.
The following is a PBE calculation of a relaxed Li10Zn6Ag crystal, from the Alexandria database.

* energy: -1.86 eV per atom
* V: 274 Å³ per cell
* total moment: 0.00 μB per formula unit
* energy relative to the elements: -116 meV per atom

Cell: 7.635 7.635 5.435 Å, 90.00 90.00 120.00°
Element x y z (fractional)
Li: 0.000 0.297 0.165
Li: 0.000 0.703 0.835
Li: 0.297 0.000 0.165
Li: 0.297 0.297 0.835
Li: 0.333 0.667 0.000
Li: 0.333 0.667 0.500
Li: 0.667 0.333 0.000
Li: 0.667 0.333 0.500
Li: 0.703 0.000 0.835
Li: 0.703 0.703 0.165
Zn: 0.000 0.354 0.649
Zn: 0.000 0.646 0.351
Zn: 0.354 0.000 0.649
Zn: 0.354 0.354 0.351
Zn: 0.646 0.000 0.351
Zn: 0.646 0.646 0.649
Ag: 0.000 0.000 0.500

14.
The following is a PBE calculation of a relaxed LiZn5Ag7 crystal, from the Alexandria database.

* energy: -2.23 eV per atom
* V: 224 Å³ per cell
* total moment: 0.00 μB per formula unit
* energy relative to the elements: -54 meV per atom

Cell: 7.040 7.040 7.040 Å, 136.07 98.75 97.34°
Element x y z (fractional)
Li: 0.000 0.000 0.000
Zn: 0.496 0.494 0.502
Zn: 0.496 0.994 0.002
Zn: 0.771 0.271 0.500
Zn: 0.992 0.494 0.998
Zn: 0.992 0.994 0.498
Ag: 0.191 0.491 0.699
Ag: 0.220 0.720 0.500
Ag: 0.339 0.997 0.343
Ag: 0.348 0.348 0.000
Ag: 0.654 0.997 0.657
Ag: 0.656 0.656 0.000
Ag: 0.792 0.491 0.301

15.
The following is a PBE calculation of a relaxed LiZn5Ag8 crystal, from the Alexandria database.

* energy: -2.21 eV per atom
* V: 241 Å³ per cell
* total moment: 0.00 μB per formula unit
* energy relative to the elements: 15 meV per atom

Cell: 6.798 6.798 6.798 Å, 111.07 111.07 106.32°
Element x y z (fractional)
Li: 0.000 0.000 0.000
Zn: 0.043 0.212 0.593
Zn: 0.250 0.750 0.500
Zn: 0.551 0.957 0.169
Zn: 0.619 0.449 0.407
Zn: 0.788 0.381 0.831
Ag: 0.084 0.673 0.768
Ag: 0.268 0.512 0.100
Ag: 0.327 0.095 0.411
Ag: 0.412 0.168 0.900
Ag: 0.488 0.588 0.756
Ag: 0.684 0.916 0.589
Ag: 0.832 0.732 0.244
Ag: 0.905 0.316 0.232

16.
The following is a PBE calculation of a relaxed LiZn4Ag3 crystal, from the Alexandria database.

* energy: -1.96 eV per atom
* E above lowest polymorph: 0.0676 eV/atom
* V: 277 Å³ per cell
* total moment: 0.00 μB per formula unit
* energy relative to the elements: -17 meV per atom

Cell: 2.851 7.225 13.434 Å, 90.00 90.00 90.00°
Element x y z (fractional)
Li: 0.000 0.000 0.000
Li: 0.500 0.500 0.500
Zn: 0.000 0.312 0.147
Zn: 0.000 0.312 0.853
Zn: 0.000 0.688 0.147
Zn: 0.000 0.688 0.853
Zn: 0.500 0.188 0.353
Zn: 0.500 0.188 0.647
Zn: 0.500 0.812 0.353
Zn: 0.500 0.812 0.647
Ag: 0.000 0.000 0.500
Ag: 0.000 0.500 0.325
Ag: 0.000 0.500 0.675
Ag: 0.500 0.000 0.175
Ag: 0.500 0.000 0.825
Ag: 0.500 0.500 0.000

17.
The following is a PBE calculation of a relaxed LiZnAg2 crystal, from the Alexandria database.

* energy: -2.39 eV per atom
* V: 64 Å³ per cell
* total moment: 0.00 μB per formula unit
* energy relative to the elements: -168 meV per atom

Cell: 4.223 4.223 3.580 Å, 90.00 90.00 90.00°
Element x y z (fractional)
Li: 0.000 0.000 0.000
Zn: 0.500 0.500 0.000
Ag: 0.000 0.500 0.500
Ag: 0.500 0.000 0.500

18.
The following is a PBE calculation of a relaxed Li15Zn2Ag2 crystal, from the Alexandria database.

* energy: -1.93 eV per atom
* V: 320 Å³ per cell
* total moment: 0.00 μB per formula unit
* energy relative to the elements: 12 meV per atom

Cell: 7.207 7.207 7.207 Å, 70.15 70.15 70.15°
Element x y z (fractional)
Li: 0.000 0.000 0.500
Li: 0.000 0.292 0.708
Li: 0.000 0.500 0.000
Li: 0.000 0.708 0.292
Li: 0.191 0.564 0.564
Li: 0.292 0.000 0.708
Li: 0.292 0.708 0.000
Li: 0.436 0.436 0.809
Li: 0.436 0.809 0.436
Li: 0.500 0.000 0.000
Li: 0.564 0.191 0.564
Li: 0.564 0.564 0.191
Li: 0.708 0.000 0.292
Li: 0.708 0.292 0.000
Li: 0.809 0.436 0.436
Zn: 0.096 0.096 0.096
Zn: 0.904 0.904 0.904
Ag: 0.285 0.285 0.285
Ag: 0.715 0.715 0.715

19.
The following is a PBE calculation of a relaxed LiZn4Ag6 crystal, from the Alexandria database.

* energy: -2.06 eV per atom
* V: 215 Å³ per cell
* total moment: 0.00 μB per formula unit
* energy relative to the elements: 129 meV per atom

Cell: 6.800 6.800 6.800 Å, 121.96 121.96 86.63°
Element x y z (fractional)
Li: 0.000 0.000 0.000
Zn: 0.258 0.258 0.683
Zn: 0.425 0.742 0.000
Zn: 0.575 0.575 0.317
Zn: 0.742 0.425 0.000
Ag: 0.000 0.500 0.500
Ag: 0.094 0.530 0.000
Ag: 0.470 0.470 0.565
Ag: 0.500 0.000 0.500
Ag: 0.530 0.094 0.000
Ag: 0.906 0.906 0.435

20.
The following is a PBE calculation of a relaxed LiZn2Ag7 crystal, from the Alexandria database.

* energy: -2.26 eV per atom
* V: 221 Å³ per cell
* total moment: 0.00 μB per formula unit
* energy relative to the elements: 185 meV per atom

Cell: 7.529 7.529 4.492 Å, 90.00 90.00 119.95°
Element x y z (fractional)
Li: 0.000 0.000 0.000
Zn: 0.301 0.699 0.500
Zn: 0.699 0.301 0.500
Ag: 0.072 0.296 0.500
Ag: 0.203 0.797 0.000
Ag: 0.296 0.072 0.500
Ag: 0.500 0.500 0.500
Ag: 0.704 0.928 0.500
Ag: 0.797 0.203 0.000
Ag: 0.928 0.704 0.500

21.
The following is a PBE calculation of a relaxed LiZnAg2 crystal, from the Alexandria database.

* energy: -2.39 eV per atom
* V: 127 Å³ per cell
* total moment: 0.00 μB per formula unit
* energy relative to the elements: -172 meV per atom

Cell: 4.612 5.868 4.707 Å, 90.00 90.00 90.00°
Element x y z (fractional)
Li: 0.250 0.250 0.201
Li: 0.750 0.750 0.799
Zn: 0.250 0.750 0.204
Zn: 0.750 0.250 0.796
Ag: 0.250 0.000 0.706
Ag: 0.250 0.500 0.706
Ag: 0.750 0.000 0.294
Ag: 0.750 0.500 0.294